No. 1
Entry from Alexandria via LeMat-Bulk: a geometry-optimized Cr2OsCl structure (PBE).

The calculation puts the raw formation energy at 857.9 meV/atom. The value obtained for the raw total energy is -28.89 eV/f.u. The space group is Pmmm. The calculation puts the magnetization at 0.017 μB per formula unit.

The structure in POSCAR format:
```
Cr2OsCl
1.0
-1.9373 -0.4003 2.1238
3.2527 0.1875 3.0026
-0.5436 4.3228 0.3189
Cr Os Cl
2 1 1
Direct
0.0000 0.0000 0.0000
0.5000 0.5000 0.0000
0.5000 0.0000 0.5000
0.0000 0.5000 0.5000
```

---

No. 2
Entry from Alexandria via LeMat-Bulk: a geometry-optimized ReTe3I structure (PBE).

The calculation puts the raw formation energy at 1912.0 meV/atom. The value obtained for the raw total energy is -13.86 eV/f.u. The space group is Pm-3m. The calculation puts the magnetization at 5.106 μB per formula unit.

The structure in POSCAR format:
```
ReTe3I
1.0
-2.5508 2.7155 -4.4761
3.4912 -2.8281 -3.7053
-3.9013 -4.3062 -0.3892
I Re Te
1 1 3
Direct
0.0000 0.0000 0.0000
0.5000 0.5000 0.5000
0.0000 0.5000 0.0000
0.0000 0.0000 0.5000
0.5000 0.0000 0.0000
```

---

No. 3
Entry from Alexandria via LeMat-Bulk: a geometry-optimized SiNi2PdAu structure (PBE).

The calculation puts the raw formation energy at 906.5 meV/atom. The value obtained for the raw total energy is -20.92 eV/f.u. The space group is P4/mmm. The calculation puts the magnetization at 1.644 μB per formula unit.

The structure in POSCAR format:
```
SiNi2PdAu
1.0
4.6412 0.0000 0.0000
0.0000 4.4128 0.0000
0.0000 0.0000 4.6412
Ni Si Au Pd
2 1 1 1
Direct
0.0000 0.0000 0.5000
0.5000 0.0000 0.0000
0.0000 0.5000 0.0000
0.5000 0.5000 0.5000
0.0000 0.0000 0.0000
```

---

Which of these has the lowest magnetization? Cr2OsCl

---

The highest raw total energy belongs to which entry? ReTe3I